VASP calculation (PBE) on a geometry-optimized Dy3AlGa4 structure.

Properties
ΔE_f in eV/atom: -0.3625
Fermi-level density of states in states/eV per atom: 0.488

a b c (Å): 3.687 6.242 8.882
angles (deg): 110.57 101.98 90.00
Fractional coordinates of all 8 atoms:
Ga 0.623 0.414 0.247
Ga 0.377 0.167 0.753
Dy 0.791 0.791 0.583
Al 0.500 0.000 0.000
Dy 0.000 0.500 0.000
Dy 0.209 0.209 0.417
Ga 0.623 0.833 0.247
Ga 0.377 0.586 0.753